(1)
# LiSi2As

LiSi2As after structural relaxation (PBE, Alexandria via LeMat-Bulk).

a b c (Å): 2.6488 2.6488 9.0266
angles (deg): 90.00 90.00 90.00
With the nearest neighbours (Å) after each atom.
Element x y z (fractional)
Si (0.0000, 0.0000, 0.5285)  4 Si 2.65, 4 Li 2.74
Si (0.0000, 0.0000, 0.9715)  4 Si 2.65, 4 Li 2.74
Li (0.5000, 0.5000, 0.7500)  4 Li 2.65, 8 Si 2.74
As (0.5000, 0.5000, 0.2500)  4 As 2.65

Output
- volume (Å³/cell) = 63.3
- ΔE_f (raw) (eV per atom) = 0.252

=====

(2)
# LiBi2F

LiBi2F after structural relaxation (PBE, Alexandria via LeMat-Bulk).

a b c (Å): 4.8760 4.8760 4.8760
angles (deg): 60.00 60.00 60.00
With the nearest neighbours (Å) after each atom.
Element x y z (fractional)
Bi (0.2500, 0.2500, 0.2500)  4 F 2.99, 4 Li 2.99
Bi (0.7500, 0.7500, 0.7500)  4 F 2.99, 4 Li 2.99
Li (0.0000, 0.0000, 0.0000)  8 Bi 2.99
F (0.5000, 0.5000, 0.5000)  8 Bi 2.99

Output
- energy above the lowest structure with this stoichiometry (kJ/mol of atoms) = 0.0
- volume (Å³/cell) = 82.0
- ΔE_f (raw) (eV per atom) = -0.664

=====

(3)
# Ca2CuOsF

Ca2CuOsF after structural relaxation (PBE, Alexandria via LeMat-Bulk).

a b c (Å): 5.5132 3.6215 5.5132
angles (deg): 90.00 90.00 90.00
With the nearest neighbours (Å) after each atom.
Element x y z (fractional)
Ca (0.5000, 0.0000, 0.0000)  2 Cu 2.76
Ca (0.0000, 0.0000, 0.5000)  2 Cu 2.76
F (0.0000, 0.5000, 0.0000)  2 Cu 1.81
Os (0.5000, 0.5000, 0.5000)  8 Ca 3.30, 2 Os 3.62
Cu (0.0000, 0.0000, 0.0000)  2 F 1.81

Output
- volume (Å³/cell) = 110.1
- ΔE_f (raw) (eV per atom) = 0.213

=====

(4)
# Na6Tl4In

Na6Tl4In after structural relaxation (PBE, Alexandria via LeMat-Bulk).

a b c (Å): 6.7557 10.9718 10.9704
angles (deg): 120.00 90.00 90.00
With the nearest neighbours (Å) after each atom.
Element x y z (fractional)
In (0.3138, 0.6667, 0.3334)  4 Tl 3.07, 3 Na 3.16
In (0.8138, 0.3333, 0.6665)  4 Tl 3.07, 3 Na 3.16
Na (0.8368, 0.0014, 0.5007)  1 In 3.16, 5 Tl 3.21-3.43, 2 Na 3.38
Na (0.0744, 0.1447, 0.8555)  4 Tl 3.36-3.55, 2 Na 3.75
Na (0.0743, 0.1445, 0.2890)  4 Tl 3.36-3.55, 2 Na 3.75
Na (0.5743, 0.8555, 0.7110)  4 Tl 3.36-3.55, 2 Na 3.75
Na (0.5744, 0.8553, 0.1445)  4 Tl 3.36-3.55, 2 Na 3.75
Na (0.8368, 0.4993, 0.5007)  1 In 3.16, 5 Tl 3.21-3.43, 2 Na 3.38
Na (0.3372, 0.5008, 0.0015)  1 In 3.16, 5 Tl 3.21-3.42, 2 Na 3.38
Na (0.3368, 0.5007, 0.4993)  1 In 3.16, 5 Tl 3.21-3.43, 2 Na 3.38
Na (0.5744, 0.2892, 0.1445)  4 Tl 3.36-3.55, 2 Na 3.75
Na (0.0744, 0.7108, 0.8555)  4 Tl 3.36-3.55, 2 Na 3.75
Na (0.8372, 0.4992, 0.9985)  1 In 3.16, 5 Tl 3.21-3.42, 2 Na 3.38
Na (0.3368, 0.9986, 0.4993)  1 In 3.16, 5 Tl 3.21-3.43, 2 Na 3.38
Tl (0.0702, 0.8028, 0.1972)  1 In 3.07, 1 Tl 3.29, 6 Na 3.33-3.42
Tl (0.5702, 0.1972, 0.8028)  1 In 3.07, 1 Tl 3.29, 6 Na 3.33-3.42
Tl (0.5702, 0.6056, 0.8028)  1 In 3.07, 1 Tl 3.29, 6 Na 3.33-3.42
Tl (0.2687, 0.3334, 0.6667)  1 In 3.07, 3 Na 3.21, 3 Tl 3.29
Tl (0.0700, 0.8028, 0.6057)  1 In 3.07, 1 Tl 3.29, 6 Na 3.33-3.43
Tl (0.5700, 0.1972, 0.3943)  1 In 3.07, 1 Tl 3.29, 6 Na 3.33-3.43
Tl (0.7687, 0.6666, 0.3333)  1 In 3.07, 3 Na 3.21, 3 Tl 3.29
Tl (0.0702, 0.3944, 0.1972)  1 In 3.07, 1 Tl 3.29, 6 Na 3.33-3.42

Output
- ΔH_f (0 K) (meV/atom) = -79
- volume (Å³/cell) = 704.2

=====

(5)
# LaDy2Tm

LaDy2Tm after structural relaxation (PBE, Alexandria via LeMat-Bulk).

a b c (Å): 6.8825 6.9165 13.2019
angles (deg): 121.60 90.00 90.00
With the nearest neighbours (Å) after each atom.
Element x y z (fractional)
Tm (0.8814, 0.9928, 0.1139)  7 Dy 3.41-3.56, 2 Tm 3.47-3.49, 1 La 3.48
Tm (0.1186, 0.0072, 0.8861)  7 Dy 3.41-3.56, 2 Tm 3.47-3.49, 1 La 3.48
Tm (0.8814, 0.5073, 0.3862)  7 Dy 3.41-3.56, 2 Tm 3.47-3.49, 1 La 3.48
Tm (0.1186, 0.4927, 0.6138)  7 Dy 3.41-3.56, 2 Tm 3.47-3.49, 1 La 3.48
La (0.3671, 0.4801, 0.1063)  7 Dy 3.41-3.57, 1 Tm 3.48, 2 La 3.48-3.67
La (0.6328, 0.9802, 0.6065)  7 Dy 3.41-3.57, 1 Tm 3.48, 2 La 3.48-3.67
La (0.3672, 0.0198, 0.3935)  7 Dy 3.41-3.57, 1 Tm 3.48, 2 La 3.48-3.67
La (0.6329, 0.5199, 0.8937)  7 Dy 3.41-3.57, 1 Tm 3.48, 2 La 3.48-3.67
Dy (0.3769, 0.9898, 0.1151)  3 Tm 3.41-3.56, 4 La 3.45-3.57, 3 Dy 3.49-3.55
Dy (0.6231, 0.4898, 0.6151)  3 Tm 3.41-3.56, 4 La 3.45-3.57, 3 Dy 3.49-3.55
Dy (0.3769, 0.5102, 0.3849)  3 Tm 3.41-3.56, 4 La 3.45-3.57, 3 Dy 3.49-3.55
Dy (0.6231, 0.0102, 0.8849)  3 Tm 3.41-3.56, 4 La 3.45-3.57, 3 Dy 3.49-3.55
Dy (0.1283, 0.5112, 0.8843)  3 La 3.41-3.47, 4 Tm 3.42-3.55, 3 Dy 3.49-3.60
Dy (0.8716, 0.0113, 0.3843)  3 La 3.41-3.47, 4 Tm 3.42-3.55, 3 Dy 3.49-3.60
Dy (0.1284, 0.9887, 0.6157)  3 La 3.41-3.47, 4 Tm 3.42-3.55, 3 Dy 3.49-3.60
Dy (0.8717, 0.4888, 0.1157)  3 La 3.41-3.47, 4 Tm 3.42-3.55, 3 Dy 3.49-3.60

Output
- energy above the lowest structure with this stoichiometry (kJ/mol of atoms) = 19.6
- ΔH_f (0 K) (meV/atom) = 211
- volume (Å³/cell) = 535.3

=====

(6)
# ErSeCl

ErSeCl after structural relaxation (PBE, Alexandria via LeMat-Bulk).

a b c (Å): 4.0550 6.8104 6.9432
angles (deg): 83.28 90.00 89.98
With the nearest neighbours (Å) after each atom.
Element x y z (fractional)
Er (0.8224, 0.0624, 0.8505)  4 Cl 2.73, 2 Se 2.73-2.74
Er (0.3223, 0.0623, 0.3506)  2 Cl 2.78, 4 Se 2.81
Cl (0.3225, 0.8472, 0.0335)  3 Er 2.73-2.78
Cl (0.3221, 0.2776, 0.6673)  3 Er 2.73-2.78
Se (0.8221, 0.2883, 0.1513)  3 Er 2.73-2.81
Se (0.8225, 0.8362, 0.5500)  3 Er 2.74-2.81

Output
- energy above the lowest structure with this stoichiometry (kJ/mol of atoms) = 10.9
- volume (Å³/cell) = 190.4
- ΔE_f (raw) (eV per atom) = -1.947

=====

(7)
# BeInRh2

BeInRh2 after structural relaxation (PBE, Alexandria via LeMat-Bulk).

a b c (Å): 5.2493 5.2493 5.2493
angles (deg): 146.90 132.56 59.07
With the nearest neighbours (Å) after each atom.
Element x y z (fractional)
In (0.2734, 0.7734, 0.5000)  6 Rh 2.65-2.90, 2 Be 2.72
Be (0.5223, 0.5223, 0.0000)  2 Rh 2.30
Rh (0.9913, 0.9913, 0.0000)  4 Be 2.60, 2 In 2.90
Rh (0.7129, 0.2129, 0.5000)  2 Be 2.30

Output
- ΔH_f (0 K) (meV/atom) = -195
- volume (Å³/cell) = 57.7

=====

(8)
# NaLiHgPb

NaLiHgPb after structural relaxation (PBE, Alexandria via LeMat-Bulk).

a b c (Å): 3.4719 3.4719 7.9168
angles (deg): 90.00 90.00 90.00
With the nearest neighbours (Å) after each atom.
Element x y z (fractional)
Hg (0.5000, 0.5000, 0.3565)  4 Li 2.91, 4 Na 3.25
Na (0.0000, 0.0000, 0.0865)  4 Hg 3.25, 4 Pb 3.41, 4 Na 3.47
Li (0.0000, 0.0000, 0.5546)  4 Hg 2.91, 4 Pb 3.07
Pb (0.5000, 0.5000, 0.7871)  4 Li 3.07, 1 Hg 3.41, 4 Na 3.41

Output
- energy above the lowest structure with this stoichiometry (kJ/mol of atoms) = 0.0
- ΔH_f (0 K) (meV/atom) = -242
- volume (Å³/cell) = 95.4

=====

no.,E (eV per atom),calculated density (Mg/m³)
1,-4.101,3.6
2,-3.551,9.0
3,-4.027,5.3
4,-1.907,5.0
5,-4.440,7.9
6,-5.245,4.9
7,-5.487,9.5
8,-2.053,7.6